# Mg2ZrCl, optimized geometry, DFT PBE-GGA
data_Mg2ZrCl
_chemical_formula_sum 'Mg4 Zr2 Cl2'
_space_group_name_H-M_alt 'C m m m'
_space_group_IT_number 65
_space_group_name_Hall '-C 2 2'
_cell_length_a 5.745
_cell_length_b 9.580
_cell_length_c 3.187
_cell_angle_alpha 90.00
_cell_angle_beta 90.00
_cell_angle_gamma 90.00
loop_
_atom_site_label
_atom_site_type_symbol
_atom_site_fract_x
_atom_site_fract_y
_atom_site_fract_z
_atom_site_occupancy
Mg1 Mg 0.250 0.250 0.000 1
Zr1 Zr 0.000 0.000 0.500 1
Cl1 Cl 0.000 0.500 0.500 1
# - E above lowest polymorph: 280 meV per atom
# - V: 175.41 Å³ per cell
# - DOS(E_F): 6.34 states/eV/cell
# - Energy relative to the elements, uncorrected: -0.181 eV per atom